This record from Alexandria describes TaPtRh2 after structural relaxation. The functional is PBE.

## Properties
mass density: 15.85 Mg/m³
space group: No. 119
calculated formation energy: -0.589 eV/atom
electronic total energy: -0.642 Ry per atom

Unit cell a=4.843 b=4.843 c=4.843 alpha=132.30 beta=132.30 gamma=69.76
Fractional positions:
Ta 0.500 0.500 0.000
Pt 0.750 0.250 0.500
Rh 0.000 0.000 0.000
Rh 0.250 0.750 0.500